# Rb3Y2FeO6 | Alexandria via LeMat-Bulk | GGA+U | optimized geometry
data_Rb3Y2FeO6
_symmetry_space_group_name_H-M 'C 1 2/m 1'
_symmetry_Int_Tables_number 12
_symmetry_space_group_name_Hall '-C 2y'
_cell_length_a 5.902
_cell_length_b 10.216
_cell_length_c 6.801
_cell_angle_alpha 90.00
_cell_angle_beta 106.76
_cell_angle_gamma 90.00
loop_
_atom_site_label
_atom_site_fract_x
_atom_site_fract_y
_atom_site_fract_z
Rb1 0.000 0.000 0.000
Rb2 0.000 0.336 0.000
Y1 0.000 0.167 0.500
Fe1 0.000 0.500 0.500
O1 0.214 0.344 0.672
O2 0.244 0.000 0.673
# N(E_F): 0.0 states/eV per cell
# crystal system: monoclinic
# E_tot: -6.4690 eV/atom